[1]
First-principles (PBE-GGA) data for crystalline Ta2Ti2Nb at its relaxed geometry, as listed in Alexandria via LeMat-Bulk.

Output
Energy relative to the elements: 0.11 eV/atom
Offset from the most stable computed form: 0 meV per atom
ρ: 10.19 Mg/m³
SG: C2/c
Density of states at the Fermi level: 1.65 states/eV per atom

POSCAR file:
```
Ta2Ti2Nb
1.0
5.126 0.000 0.000
-2.563 5.321 -2.007
0.000 0.228 6.490
Ta Ti Nb
4 4 2
Direct
0.577 0.402 0.650 Ta
0.174 0.598 0.850 Ta
0.423 0.598 0.350 Ta
0.826 0.402 0.150 Ta
0.776 0.801 0.049 Ti
0.975 0.199 0.451 Ti
0.224 0.199 0.951 Ti
0.025 0.801 0.549 Ti
0.626 0.000 0.750 Nb
0.374 0.000 0.250 Nb
```

***

[2]
First-principles (PBE-GGA) data for crystalline Ce2ThZn6 at its relaxed geometry, as listed in Alexandria via LeMat-Bulk.

Output
Energy relative to the elements: -0.28 eV/atom
ρ: 7.92 Mg/m³
SG: P6/mmm
Density of states at the Fermi level: 1.55 states/eV per atom

POSCAR file:
```
Ce2ThZn6
1.0
-0.811 3.288 -0.588
4.610 -0.027 -6.517
-7.710 -2.001 -0.556
Ce Th Zn
2 1 6
Direct
0.000 0.333 0.667 Ce
0.000 0.667 0.333 Ce
0.000 0.000 0.000 Th
0.500 0.335 0.335 Zn
0.500 0.665 0.665 Zn
0.500 0.000 0.665 Zn
0.500 0.665 0.000 Zn
0.500 0.335 0.000 Zn
0.500 0.000 0.335 Zn
```

***

[3]
First-principles (PBE-GGA) data for crystalline Tm7Ni2Te2 at its relaxed geometry, as listed in Alexandria via LeMat-Bulk.

Output
Offset from the most stable computed form: 367 meV per atom
ρ: 7.54 Mg/m³
SG: C2/m
Density of states at the Fermi level: 0.99 states/eV per atom

POSCAR file:
```
Tm7Ni2Te2
1.0
7.652 -0.057 -0.082
-0.882 6.910 0.033
-0.882 -2.396 6.482
Tm Ni Te
7 2 2
Direct
0.199 0.924 0.464 Tm
0.801 0.536 0.076 Tm
0.801 0.076 0.536 Tm
0.199 0.464 0.924 Tm
0.000 0.000 0.000 Tm
0.806 0.572 0.572 Tm
0.194 0.428 0.428 Tm
0.865 0.268 0.268 Ni
0.135 0.732 0.732 Ni
0.500 0.304 0.696 Te
0.500 0.696 0.304 Te
```

***

[4]
First-principles (PBE-GGA) data for crystalline NaNp2S4 at its relaxed geometry, as listed in Alexandria via LeMat-Bulk.

Output
Offset from the most stable computed form: 17 meV per atom
ρ: 6.12 Mg/m³
SG: Cmcm
Density of states at the Fermi level: 2.77 states/eV per atom

POSCAR file:
```
NaNp2S4
1.0
-1.556 2.006 -3.030
3.997 -4.764 -2.628
-10.276 -8.446 -0.315
Na Np S
2 4 8
Direct
0.608 0.216 0.750 Na
0.392 0.784 0.250 Na
0.133 0.266 0.431 Np
0.867 0.734 0.931 Np
0.133 0.266 0.069 Np
0.867 0.734 0.569 Np
0.767 0.534 0.111 S
0.767 0.534 0.389 S
0.233 0.466 0.889 S
0.233 0.466 0.611 S
0.948 0.896 0.750 S
0.052 0.104 0.250 S
0.500 0.000 0.000 S
0.500 0.000 0.500 S
```